1.
# Sc3CdAu (GGA-PBE, relaxed)
data_Sc3CdAu
_cell_length_a 5.190
_cell_length_b 5.190
_cell_length_c 5.190
_cell_angle_alpha 90.00
_cell_angle_beta 90.00
_cell_angle_gamma 90.00
_symmetry_space_group_name_H-M 'P m -3 m'
_symmetry_Int_Tables_number 221
_symmetry_space_group_name_Hall '-P 4 2 3'
loop_
_atom_site_label
_atom_site_type_symbol
_atom_site_fract_x
_atom_site_fract_y
_atom_site_fract_z
_atom_site_occupancy
Sc1 Sc 0.000 0.000 0.500 1
Cd1 Cd 0.500 0.500 0.500 1
Au1 Au 0.000 0.000 0.000 1
# ΔE to the lowest computed polymorph: 42.2 kJ per mole of atoms
# spin magnetization: 1.15 μB per formula unit
# ΔE_f: 0.0326 eV per atom
# total energy: -4.60 eV/atom
# N(E_F): 13.43 states/eV per cell


2.
# SrCaY (GGA-PBE, relaxed)
data_SrCaY
_cell_length_a 6.1556
_cell_length_b 6.1556
_cell_length_c 3.6863
_cell_angle_alpha 90.00
_cell_angle_beta 90.00
_cell_angle_gamma 120.00
_symmetry_space_group_name_H-M 'P 3 m 1'
_symmetry_Int_Tables_number 156
loop_
_symmetry_equiv_pos_as_xyz
'x,y,z'
'-y,x-y,z'
'-x+y,-x,z'
'-y,-x,z'
'-x+y,y,z'
'x,x-y,z'
loop_
_atom_site_label
_atom_site_type_symbol
_atom_site_fract_x
_atom_site_fract_y
_atom_site_fract_z
_atom_site_occupancy
Sr1 Sr 0.0000 0.0000 0.0000 1
Ca1 Ca 0.3333 0.6667 0.6840 1
Y1 Y 0.6667 0.3333 0.3354 1
# ΔE to the lowest computed polymorph: 2.8 kJ per mole of atoms
# spin magnetization: 0.00 μB per formula unit
# ΔE_f: 0.1778 eV per atom
# total energy: -3.20 eV/atom
# N(E_F): 3.86 states/eV per cell


3.
# Ho3CuO (GGA-PBE, relaxed)
data_Ho3CuO
_cell_length_a 4.666
_cell_length_b 4.666
_cell_length_c 4.666
_cell_angle_alpha 90.00
_cell_angle_beta 90.00
_cell_angle_gamma 90.00
_symmetry_space_group_name_H-M 'P m -3 m'
_symmetry_Int_Tables_number 221
_symmetry_space_group_name_Hall '-P 4 2 3'
loop_
_atom_site_label
_atom_site_type_symbol
_atom_site_fract_x
_atom_site_fract_y
_atom_site_fract_z
_atom_site_occupancy
Ho1 Ho 0.000 0.000 0.500 1
Cu1 Cu 0.500 0.500 0.500 1
O1 O 0.000 0.000 0.000 1
# spin magnetization: 0.00 μB per formula unit
# total energy: -5.69 eV/atom
# N(E_F): 5.62 states/eV per cell
# raw formation energy: -5.67 eV/f.u.


4.
# PrLu3Co (GGA-PBE, relaxed)
data_PrLu3Co
_cell_length_a 5.200
_cell_length_b 5.200
_cell_length_c 5.200
_cell_angle_alpha 90.00
_cell_angle_beta 90.00
_cell_angle_gamma 90.00
_symmetry_space_group_name_H-M 'P m -3 m'
_symmetry_Int_Tables_number 221
_symmetry_space_group_name_Hall '-P 4 2 3'
loop_
_atom_site_label
_atom_site_type_symbol
_atom_site_fract_x
_atom_site_fract_y
_atom_site_fract_z
_atom_site_occupancy
Pr1 Pr 0.000 0.000 0.000 1
Lu1 Lu 0.000 0.500 0.500 1
Co1 Co 0.500 0.500 0.500 1
# spin magnetization: 0.00 μB per formula unit
# ΔE_f: -0.0931 eV per atom
# total energy: -5.18 eV/atom
# N(E_F): 6.18 states/eV per cell


5.
# BaSrCrCl2 (GGA-PBE, relaxed)
data_BaSrCrCl2
_cell_length_a 5.448
_cell_length_b 5.448
_cell_length_c 12.827
_cell_angle_alpha 90.00
_cell_angle_beta 90.00
_cell_angle_gamma 90.00
_symmetry_space_group_name_H-M 'P 4/m m m'
_symmetry_Int_Tables_number 123
_symmetry_space_group_name_Hall '-P 4 2'
loop_
_atom_site_label
_atom_site_type_symbol
_atom_site_fract_x
_atom_site_fract_y
_atom_site_fract_z
_atom_site_occupancy
Ba1 Ba 0.000 0.000 0.000 1
Sr1 Sr 0.000 0.000 0.500 1
Cr1 Cr 0.500 0.500 0.000 1
Cl1 Cl 0.000 0.500 0.500 1
# spin magnetization: 5.52 μB per formula unit
# total energy: -3.97 eV/atom
# N(E_F): 1.51 states/eV per cell
# raw formation energy: -2.91 eV/f.u.


6.
# TmZrSn (GGA-PBE, relaxed)
data_TmZrSn
_cell_length_a 5.821
_cell_length_b 5.821
_cell_length_c 9.397
_cell_angle_alpha 90.00
_cell_angle_beta 90.00
_cell_angle_gamma 90.00
_symmetry_space_group_name_H-M 'I 41 m d'
_symmetry_Int_Tables_number 109
_symmetry_space_group_name_Hall 'I 4bw -2'
loop_
_atom_site_label
_atom_site_type_symbol
_atom_site_fract_x
_atom_site_fract_y
_atom_site_fract_z
_atom_site_occupancy
Tm1 Tm 0.000 0.000 0.000 1
Zr1 Zr 0.000 0.000 0.364 1
Sn1 Sn 0.000 0.000 0.671 1
# spin magnetization: 0.00 μB per formula unit
# ΔE_f: 0.0130 eV per atom
# total energy: -5.66 eV/atom
# N(E_F): 10.05 states/eV per cell


7.
# SmHoZr (GGA-PBE, relaxed)
data_SmHoZr
_cell_length_a 3.4275
_cell_length_b 3.4275
_cell_length_c 8.4652
_cell_angle_alpha 90.00
_cell_angle_beta 90.00
_cell_angle_gamma 120.00
_symmetry_space_group_name_H-M 'P 3 m 1'
_symmetry_Int_Tables_number 156
loop_
_symmetry_equiv_pos_as_xyz
'x,y,z'
'-y,x-y,z'
'-x+y,-x,z'
'-y,-x,z'
'-x+y,y,z'
'x,x-y,z'
loop_
_atom_site_label
_atom_site_type_symbol
_atom_site_fract_x
_atom_site_fract_y
_atom_site_fract_z
_atom_site_occupancy
Sm1 Sm 0.0000 0.0000 0.0000 1
Ho1 Ho 0.3333 0.6667 0.6293 1
Zr1 Zr 0.6667 0.3333 0.3182 1
# ΔE to the lowest computed polymorph: 1.1 kJ per mole of atoms
# spin magnetization: 0.00 μB per formula unit
# ΔE_f: 0.1030 eV per atom
# total energy: -5.85 eV/atom
# N(E_F): 3.39 states/eV per cell


8.
# Tl2In2PbCl6 (GGA-PBE, relaxed)
data_Tl2In2PbCl6
_cell_length_a 8.251
_cell_length_b 12.581
_cell_length_c 7.873
_cell_angle_alpha 90.00
_cell_angle_beta 105.78
_cell_angle_gamma 90.00
_symmetry_space_group_name_H-M 'C 1 2/m 1'
_symmetry_Int_Tables_number 12
loop_
_symmetry_equiv_pos_as_xyz
'x,y,z'
'-x,-y,-z'
'-x,y,-z'
'x,-y,z'
'x+1/2,y+1/2,z'
'-x+1/2,-y+1/2,-z'
'-x+1/2,y+1/2,-z'
'x+1/2,-y+1/2,z'
loop_
_atom_site_label
_atom_site_type_symbol
_atom_site_fract_x
_atom_site_fract_y
_atom_site_fract_z
_atom_site_occupancy
Tl1 Tl 0.000 0.185 0.000 1
In1 In 0.000 0.353 0.500 1
Pb1 Pb 0.000 0.000 0.500 1
Cl1 Cl 0.188 0.000 0.235 1
Cl2 Cl 0.209 0.170 0.704 1
# spin magnetization: 0.00 μB per formula unit
# total energy: -3.25 eV/atom
# N(E_F): 0.00 states/eV per cell
# raw formation energy: -10.75 eV/f.u.


| no. | theoretical density (g cm⁻³) |
| --- | --- |
| 1 | 5.277 |
| 2 | 2.973 |
| 3 | 9.386 |
| 4 | 8.561 |
| 5 | 1.517 |
| 6 | 7.904 |
| 7 | 7.838 |
| 8 | 4.469 |